The following is a DFT calculation (PBE) of an optimized crystal structure of Tm12Tl3Cd.

Summary:
The calculation puts the formation energy from the elements at -0.142 eV per atom.

a b c (Å): 4.788 4.788 19.174
angles (deg): 90.00 90.00 90.00
Fractional coordinates of all 16 atoms:
Tm1 0.500 0.500 0.000
Tm2 0.500 0.500 0.250
Tm3 0.500 0.500 0.500
Tm4 0.500 0.500 0.750
Tm5 0.500 0.000 0.124
Tm6 0.500 0.000 0.375
Tm7 0.500 0.000 0.625
Tm8 0.500 0.000 0.876
Tm9 0.000 0.500 0.124
Tm10 0.000 0.500 0.375
Tm11 0.000 0.500 0.625
Tm12 0.000 0.500 0.876
Tl1 0.000 0.000 0.249
Tl2 0.000 0.000 0.500
Tl3 0.000 0.000 0.751
Cd1 0.000 0.000 0.000